Record 1
VASP calculation (PBE-GGA) on a relaxed AgWSe4 crystal.

a = 5.6388 Å, b = 5.6388 Å, c = 5.6388 Å
α = 60.00°, β = 60.00°, γ = 60.00°
Positions (direct):
Ag 0.0000 0.0000 0.0000
W 0.2500 0.2500 0.2500
Se 0.1255 0.6248 0.6248
Se 0.6248 0.1255 0.6248
Se 0.6248 0.6248 0.1255
Se 0.6248 0.6248 0.6248

Summary:
**Uncorrected formation energy**: 1.257 eV/atom



Record 2
VASP calculation (PBE-GGA) on a relaxed Y9Er4Al11 crystal.

a = 13.5121 Å, b = 13.5121 Å, c = 3.3707 Å
α = 90.00°, β = 90.00°, γ = 110.58°
Positions (direct):
Y 0.0000 0.0000 0.0000
Y 0.1139 0.6613 0.0000
Y 0.2961 0.4856 0.0000
Y 0.3387 0.8861 0.0000
Y 0.4856 0.2961 0.0000
Y 0.5144 0.7039 0.0000
Y 0.6613 0.1139 0.0000
Y 0.7039 0.5144 0.0000
Y 0.8861 0.3387 0.0000
Er 0.0913 0.2574 0.0000
Er 0.2574 0.0913 0.0000
Er 0.7426 0.9087 0.0000
Er 0.9087 0.7426 0.0000
Al 0.0870 0.4571 0.5000
Al 0.1215 0.8785 0.5000
Al 0.2947 0.2947 0.5000
Al 0.3138 0.6862 0.5000
Al 0.4571 0.0870 0.5000
Al 0.5000 0.5000 0.5000
Al 0.5429 0.9130 0.5000
Al 0.6862 0.3138 0.5000
Al 0.7053 0.7053 0.5000
Al 0.8785 0.1215 0.5000
Al 0.9130 0.5429 0.5000

Summary:
**ΔH_f (0 K)**: -0.34 eV/atom



Record 3
VASP calculation (PBE-GGA) on a relaxed Tb6PdSe3S2 crystal.

a = 9.1047 Å, b = 9.1047 Å, c = 8.2184 Å
α = 103.37°, β = 103.37°, γ = 25.24°
Positions (direct):
Tb 0.0040 0.0040 0.2423
Tb 0.3292 0.3292 0.4282
Tb 0.3332 0.3332 0.9026
Tb 0.6668 0.6668 0.0974
Tb 0.6708 0.6708 0.5718
Tb 0.9960 0.9960 0.7577
Pd 0.5000 0.5000 0.0000
Se 0.1670 0.1670 0.8317
Se 0.5000 0.5000 0.5000
Se 0.8330 0.8330 0.1683
S 0.1682 0.1682 0.3359
S 0.8318 0.8318 0.6641

Summary:
**Uncorrected formation energy**: -1.695 eV/atom



Record 4
VASP calculation (PBE-GGA) on a relaxed BS2Br2 crystal.

a = 6.4959 Å, b = 6.4959 Å, c = 4.9272 Å
α = 90.00°, β = 90.00°, γ = 90.00°
Positions (direct):
B 0.0000 0.0000 0.0000
B 0.5000 0.5000 0.0000
S 0.2345 0.2655 0.0000
S 0.2655 0.7655 0.0000
S 0.7345 0.2345 0.0000
S 0.7655 0.7345 0.0000
Br 0.1869 0.3131 0.5000
Br 0.3131 0.8131 0.5000
Br 0.6869 0.1869 0.5000
Br 0.8131 0.6869 0.5000

Summary:
**Excess energy over the best structure of this formula in the dataset**: 0.597 eV per atom
**Uncorrected formation energy**: 0.874 eV/atom



Record 5
VASP calculation (PBE-GGA) on a relaxed ZrTlZn3 crystal.

a = 5.3561 Å, b = 5.3561 Å, c = 5.3561 Å
α = 90.00°, β = 90.00°, γ = 90.00°
Positions (direct):
Zr 0.0000 0.0000 0.0000
Tl 0.5000 0.5000 0.5000
Zn 0.0000 0.0000 0.5000
Zn 0.0000 0.5000 0.0000
Zn 0.5000 0.0000 0.0000

Summary:
**ΔH_f (0 K)**: 0.77 eV/atom
**Excess energy over the best structure of this formula in the dataset**: 0.000 eV per atom



Record 6
VASP calculation (PBE-GGA) on a relaxed Pm5Pr4Cd crystal.

a = 4.2491 Å, b = 4.2491 Å, c = 18.6012 Å
α = 90.00°, β = 90.00°, γ = 90.00°
Positions (direct):
Pm 0.0000 0.0000 0.0000
Pm 0.0000 0.0000 0.2062
Pm 0.0000 0.0000 0.4102
Pm 0.0000 0.0000 0.5898
Pm 0.0000 0.0000 0.7938
Pr 0.5000 0.5000 0.1025
Pr 0.5000 0.5000 0.3001
Pr 0.5000 0.5000 0.6999
Pr 0.5000 0.5000 0.8975
Cd 0.5000 0.5000 0.5000

Summary:
**ΔH_f (0 K)**: 0.04 eV/atom
**Excess energy over the best structure of this formula in the dataset**: 0.000 eV per atom



Record 7
VASP calculation (PBE-GGA) on a relaxed PmZnGaCu2 crystal.

a = 6.0143 Å, b = 6.0143 Å, c = 6.0143 Å
α = 140.96°, β = 138.63°, γ = 58.19°
Positions (direct):
Pm 0.0000 0.0000 0.0000
Zn 0.2536 0.7536 0.5000
Ga 0.6191 0.6191 0.0000
Cu 0.3894 0.3894 0.0000
Cu 0.7594 0.2594 0.5000

Summary:
**ΔH_f (0 K)**: -0.30 eV/atom



Record 8
VASP calculation (PBE-GGA) on a relaxed LaHfP2Os crystal.

a = 4.9111 Å, b = 4.9111 Å, c = 4.9396 Å
α = 90.00°, β = 90.00°, γ = 90.00°
Positions (direct):
La 0.0000 0.0000 0.0000
Hf 0.5000 0.5000 0.5000
P 0.0000 0.5000 0.5000
P 0.5000 0.0000 0.5000
Os 0.5000 0.5000 0.0000

Summary:
**ΔH_f (0 K)**: 0.10 eV/atom



Record 9
VASP calculation (PBE-GGA) on a relaxed Pr3NdTm crystal.

a = 8.2139 Å, b = 8.2139 Å, c = 6.2373 Å
α = 90.00°, β = 90.00°, γ = 120.14°
Positions (direct):
Pr 0.0000 0.0000 0.0000
Pr 0.0000 0.0000 0.5000
Pr 0.1992 0.4026 0.7500
Pr 0.4026 0.1992 0.2500
Pr 0.5974 0.8008 0.7500
Pr 0.8008 0.5974 0.2500
Nd 0.2005 0.7995 0.7500
Nd 0.7995 0.2005 0.2500
Tm 0.3313 0.6687 0.2500
Tm 0.6687 0.3313 0.7500

Summary:
**ΔH_f (0 K)**: 0.33 eV/atom
**Excess energy over the best structure of this formula in the dataset**: 0.199 eV per atom



Record 10
VASP calculation (PBE-GGA) on a relaxed Ac5Ga2Sn5 crystal.

a = 8.7478 Å, b = 8.7478 Å, c = 12.9877 Å
α = 128.61°, β = 128.61°, γ = 31.02°
Positions (direct):
Ac 0.0000 0.0000 0.0000
Ac 0.3127 0.3127 0.4234
Ac 0.3711 0.3711 0.1687
Ac 0.6289 0.6289 0.8313
Ac 0.6873 0.6873 0.5766
Ga 0.3875 0.3875 0.7473
Ga 0.6125 0.6125 0.2527
Sn 0.0000 0.0000 0.5000
Sn 0.0642 0.0642 0.3190
Sn 0.2887 0.2887 0.8500
Sn 0.7113 0.7113 0.1500
Sn 0.9358 0.9358 0.6810

Summary:
**ΔH_f (0 K)**: -0.65 eV/atom



Record 11
VASP calculation (PBE-GGA) on a relaxed PmDy4Sc2 crystal.

a = 8.8119 Å, b = 8.8119 Å, c = 8.8119 Å
α = 143.22°, β = 143.22°, γ = 52.99°
Positions (direct):
Pm 0.0000 0.0000 0.0000
Dy 0.0000 0.5000 0.5000
Dy 0.1880 0.1880 0.0000
Dy 0.5000 0.0000 0.5000
Dy 0.8120 0.8120 0.0000
Sc 0.3951 0.3951 0.0000
Sc 0.6049 0.6049 0.0000

Summary:
**ΔH_f (0 K)**: 0.75 eV/atom
**Excess energy over the best structure of this formula in the dataset**: 0.532 eV per atom



Record 12
VASP calculation (PBE-GGA) on a relaxed K2SrMgHg crystal.

a = 6.7149 Å, b = 6.7149 Å, c = 6.7540 Å
α = 90.00°, β = 90.00°, γ = 90.00°
Positions (direct):
K 0.0000 0.5000 0.0000
K 0.5000 0.0000 0.0000
Sr 0.0000 0.0000 0.5000
Mg 0.0000 0.0000 0.0000
Hg 0.5000 0.5000 0.5000

Summary:
**ΔH_f (0 K)**: 0.26 eV/atom
**Excess energy over the best structure of this formula in the dataset**: 0.000 eV per atom



Record 13
VASP calculation (PBE-GGA) on a relaxed CrCdCo crystal.

a = 4.2514 Å, b = 4.2514 Å, c = 2.8636 Å
α = 90.00°, β = 90.00°, γ = 120.00°
Positions (direct):
Cr 0.0000 0.0000 0.0000
Cd 0.6667 0.3333 0.5000
Co 0.3333 0.6667 0.0000

Summary:
**ΔH_f (0 K)**: 0.52 eV/atom
**Excess energy over the best structure of this formula in the dataset**: 0.186 eV per atom



Record 14
VASP calculation (PBE-GGA) on a relaxed TbTmSc2Sb4 crystal.

a = 7.3871 Å, b = 4.2715 Å, c = 7.3963 Å
α = 90.00°, β = 109.49°, γ = 90.00°
Positions (direct):
Tb 0.0000 0.0000 0.0000
Tm 0.0000 0.5000 0.5000
Sc 0.5000 0.0000 0.5000
Sc 0.5000 0.5000 0.0000
Sb 0.2631 0.0000 0.7522
Sb 0.2647 0.5000 0.2570
Sb 0.7353 0.5000 0.7430
Sb 0.7369 0.0000 0.2478

Summary:
**Uncorrected formation energy**: -1.016 eV/atom



Record 15
VASP calculation (PBE-GGA) on a relaxed BaTiReP2 crystal.

a = 4.7548 Å, b = 4.7548 Å, c = 5.0029 Å
α = 90.00°, β = 90.00°, γ = 90.00°
Positions (direct):
Ba 0.0000 0.0000 0.0000
Ti 0.5000 0.5000 0.0000
Re 0.5000 0.5000 0.5000
P 0.0000 0.5000 0.5000
P 0.5000 0.0000 0.5000

Summary:
**ΔH_f (0 K)**: 0.07 eV/atom



Record 16
VASP calculation (PBE-GGA) on a relaxed NdMg3Cu8 crystal.

a = 8.8612 Å, b = 8.8612 Å, c = 8.8612 Å
α = 33.20°, β = 33.20°, γ = 33.20°
Positions (direct):
Nd 0.0000 0.0000 0.0000
Mg 0.1287 0.1287 0.1287
Mg 0.4958 0.4958 0.4958
Mg 0.6139 0.6139 0.6139
Cu 0.0605 0.0605 0.5569
Cu 0.0605 0.5569 0.0605
Cu 0.0648 0.5641 0.5641
Cu 0.3101 0.3101 0.3101
Cu 0.5569 0.0605 0.0605
Cu 0.5641 0.0648 0.5641
Cu 0.5641 0.5641 0.0648
Cu 0.8118 0.8118 0.8118

Summary:
**ΔH_f (0 K)**: -0.16 eV/atom



Record 17
VASP calculation (PBE-GGA) on a relaxed Mn2AsW crystal.

a = 2.7142 Å, b = 4.0779 Å, c = 5.0429 Å
α = 90.00°, β = 100.58°, γ = 90.00°
Positions (direct):
Mn 0.0000 0.0000 0.0000
Mn 0.3164 0.5000 0.7777
As 0.2837 0.0000 0.5197
W 0.7161 0.5000 0.2695

Summary:
**ΔH_f (0 K)**: 0.17 eV/atom



Record 18
VASP calculation (PBE-GGA) on a relaxed Ce2ErGeN5 crystal.

a = 7.8832 Å, b = 7.8832 Å, c = 9.7002 Å
α = 90.00°, β = 90.00°, γ = 155.52°
Positions (direct):
Ce 0.1073 0.8927 0.5000
Ce 0.1173 0.8827 0.1187
Ce 0.8827 0.1173 0.6187
Ce 0.8927 0.1073 0.0000
Er 0.2143 0.7857 0.8271
Er 0.7857 0.2143 0.3271
Ge 0.4499 0.5501 0.2753
Ge 0.5501 0.4499 0.7753
N 0.0410 0.9590 0.8732
N 0.3047 0.6953 0.5033
N 0.3380 0.6620 0.1848
N 0.3601 0.6399 0.8415
N 0.4927 0.5073 0.6060
N 0.5073 0.4927 0.1060
N 0.6399 0.3601 0.3415
N 0.6620 0.3380 0.6848
N 0.6953 0.3047 0.0033
N 0.9590 0.0410 0.3732

Summary:
**Uncorrected formation energy**: -1.009 eV/atom



Record 19
VASP calculation (PBE-GGA) on a relaxed YSc3Pb2 crystal.

a = 9.0549 Å, b = 9.0549 Å, c = 8.8104 Å
α = 112.14°, β = 112.14°, γ = 28.69°
Positions (direct):
Y 0.1136 0.1136 0.1329
Y 0.8864 0.8864 0.8671
Sc 0.0661 0.0661 0.6875
Sc 0.3068 0.3068 0.1061
Sc 0.3554 0.3554 0.5072
Sc 0.6446 0.6446 0.4928
Sc 0.6932 0.6932 0.8939
Sc 0.9339 0.9339 0.3125
Pb 0.2456 0.2456 0.7124
Pb 0.4897 0.4897 0.1701
Pb 0.5103 0.5103 0.8299
Pb 0.7544 0.7544 0.2876

Summary:
**ΔH_f (0 K)**: -0.31 eV/atom



Record 20
VASP calculation (PBE-GGA) on a relaxed Li2YW crystal.

a = 2.7650 Å, b = 4.8303 Å, c = 5.7318 Å
α = 90.00°, β = 90.00°, γ = 90.00°
Positions (direct):
Li 0.0000 0.0000 0.2067
Li 0.0000 0.0000 0.7933
Y 0.5000 0.5000 0.5000
W 0.5000 0.5000 0.0000

Summary:
**ΔH_f (0 K)**: 0.68 eV/atom
**Excess energy over the best structure of this formula in the dataset**: 0.230 eV per atom



Record 21
VASP calculation (PBE-GGA) on a relaxed YTlOs crystal.

a = 3.4143 Å, b = 3.4143 Å, c = 6.7954 Å
α = 90.00°, β = 90.00°, γ = 120.00°
Positions (direct):
Y 0.0000 0.0000 0.0000
Tl 0.3333 0.6667 0.6048
Os 0.6667 0.3333 0.2930

Summary:
**ΔH_f (0 K)**: 0.43 eV/atom
**Excess energy over the best structure of this formula in the dataset**: 0.277 eV per atom



Record 22
VASP calculation (PBE-GGA) on a relaxed KTlMo2 crystal.

a = 5.8780 Å, b = 5.8780 Å, c = 5.8780 Å
α = 139.37°, β = 139.37°, γ = 58.81°
Positions (direct):
K 0.0000 0.0000 0.0000
Tl 0.5000 0.5000 0.0000
Mo 0.2500 0.7500 0.5000
Mo 0.7500 0.2500 0.5000

Summary:
**ΔH_f (0 K)**: 1.50 eV/atom
**Excess energy over the best structure of this formula in the dataset**: 0.910 eV per atom



Record 23
VASP calculation (PBE-GGA) on a relaxed LiHg2Ge crystal.

a = 9.9325 Å, b = 9.9325 Å, c = 9.9325 Å
α = 154.53°, β = 154.53°, γ = 36.33°
Positions (direct):
Li 0.0000 0.0000 0.0000
Li 0.7500 0.2500 0.5000
Hg 0.1194 0.6250 0.9944
Hg 0.3750 0.3694 0.4944
Hg 0.6306 0.1250 0.0056
Hg 0.8750 0.8806 0.5056
Ge 0.2500 0.7500 0.5000
Ge 0.5000 0.5000 0.0000

Summary:
**ΔH_f (0 K)**: 0.04 eV/atom



Record 24
VASP calculation (PBE-GGA) on a relaxed Na3Dy2PaS6 crystal.

a = 6.8725 Å, b = 6.8725 Å, c = 7.1053 Å
α = 99.27°, β = 99.27°, γ = 120.00°
Positions (direct):
Na 0.0000 0.0000 0.0000
Na 0.3320 0.6680 0.0000
Na 0.6680 0.3320 0.0000
Dy 0.1666 0.8334 0.5000
Dy 0.8334 0.1666 0.5000
Pa 0.5000 0.5000 0.5000
S 0.0919 0.4233 0.2698
S 0.2455 0.2455 0.7300
S 0.4233 0.0919 0.2698
S 0.5767 0.9081 0.7302
S 0.7545 0.7545 0.2700
S 0.9081 0.5767 0.7302

Summary:
**Uncorrected formation energy**: -1.687 eV/atom